(1)
This record from the Alexandria database describes a relaxed SrY2Re crystal. The functional is PBE.

Results
DOS at the Fermi energy   4.11 states/eV/cell
Formation enthalpy at 0 K   272.3 kJ/mol of formula units

Cell lengths 5.286, 5.286, 5.286 Å; angles 60.00, 60.00, 60.00 degrees
Element x y z (fractional)
Y: 0.250 0.250 0.250
Y: 0.000 0.000 0.000
Re: 0.500 0.500 0.500
Sr: 0.750 0.750 0.750

=====

(2)
This record from the Alexandria database describes a relaxed SrYRe3 crystal. The functional is PBE.

Results
DOS at the Fermi energy   4.28 states/eV/cell
Formation enthalpy at 0 K   1184.5 kJ/mol of formula units

Cell lengths 4.996, 4.996, 4.996 Å; angles 90.00, 90.00, 90.00 degrees
Each line ends with the local moment (μB).
Element x y z (fractional)
Y: 0.000 0.000 0.000  -0.03
Re: 0.000 0.000 0.500  0.81
Re: 0.500 0.000 0.000  0.71
Re: 0.000 0.500 0.000  0.88
Sr: 0.500 0.500 0.500  0.02

=====

(3)
This record from the Alexandria database describes a relaxed Sr2YRe crystal. The functional is PBE.

Results
DOS at the Fermi energy   4.37 states/eV/cell
Formation enthalpy at 0 K   384.2 kJ/mol of formula units

Cell lengths 6.379, 6.379, 3.270 Å; angles 85.18, 85.18, 120.43 degrees
Element x y z (fractional)
Y: 0.500 0.000 0.500
Sr: 0.500 0.500 0.000
Sr: 0.000 0.000 0.000
Re: 0.000 0.500 0.500

=====

(4)
This record from the Alexandria database describes a relaxed SrY2Re crystal. The functional is PBE.

Results
DOS at the Fermi energy   5.93 states/eV/cell
Formation enthalpy at 0 K   372.2 kJ/mol of formula units

Cell lengths 8.156, 8.156, 8.176 Å; angles 60.08, 60.08, 90.00 degrees
Element x y z (fractional)
Y: 0.876 0.125 0.250
Y: 0.875 0.126 0.750
Y: 0.874 0.625 0.250
Y: 0.375 0.124 0.750
Re: 0.000 0.000 0.000
Re: 0.750 0.250 0.500
Sr: 0.500 0.500 0.000
Sr: 0.250 0.750 0.500

=====

(5)
This record from the Alexandria database describes a relaxed Sr2YRe crystal. The functional is PBE.

Results
DOS at the Fermi energy   3.40 states/eV/cell
Formation enthalpy at 0 K   386.2 kJ/mol of formula units

Cell lengths 4.172, 4.172, 6.863 Å; angles 90.00, 90.00, 90.00 degrees
Element x y z (fractional)
Y: 0.500 0.500 0.250
Sr: 0.000 0.000 0.967
Sr: 0.000 0.000 0.533
Re: 0.500 0.500 0.750

=====

(6)
This record from the Alexandria database describes a relaxed SrY2Re crystal. The functional is PBE.

Results
DOS at the Fermi energy   5.46 states/eV/cell
Formation enthalpy at 0 K   254.9 kJ/mol of formula units

Cell lengths 4.905, 4.907, 4.375 Å; angles 90.00, 90.00, 90.00 degrees
Element x y z (fractional)
Y: 0.000 0.000 0.000
Y: 0.500 0.500 0.000
Re: 0.500 0.000 0.500
Sr: 0.000 0.500 0.500

=====

(7)
This record from the Alexandria database describes a relaxed SrY2Re crystal. The functional is PBE.

Results
DOS at the Fermi energy   2.87 states/eV/cell
Formation enthalpy at 0 K   204.9 kJ/mol of formula units

Cell lengths 5.017, 3.768, 6.918 Å; angles 74.28, 90.00, 90.00 degrees
Element x y z (fractional)
Y: 0.000 0.012 0.099
Y: 0.500 0.426 0.271
Sr: 0.500 0.713 0.700
Re: 0.000 0.349 0.430

=====

(8)
This record from the Alexandria database describes a relaxed Sr2YRe crystal. The functional is PBE.

Results
DOS at the Fermi energy   5.92 states/eV/cell
Formation enthalpy at 0 K   216.8 kJ/mol of formula units

Cell lengths 9.280, 9.280, 9.280 Å; angles 158.55, 150.60, 36.68 degrees
Element x y z (fractional)
Sr: 0.406 0.406 0.000
Sr: 0.094 0.094 0.000
Y: 0.750 0.250 0.500
Re: 0.250 0.750 0.500

=====

Number 1: calculated total energy -24.236 eV/f.u.. Number 2: calculated total energy -33.213 eV/f.u.. Number 3: calculated total energy -18.294 eV/f.u.. Number 4: calculated total energy -23.200 eV/f.u.. Number 5: calculated total energy -18.274 eV/f.u.. Number 6: calculated total energy -24.416 eV/f.u.. Number 7: calculated total energy -24.935 eV/f.u.. Number 8: calculated total energy -20.029 eV/f.u..